Entry from Alexandria via LeMat-Bulk: a relaxed structure of Pu2FeRu3 (PBE).

```
Pu2FeRu3
1.0
-2.7180 -2.2436 4.2171
1.6774 -3.1571 -4.1743
4.6458 1.9091 0.4315
Pu Ru Fe
2 3 1
Direct
0.7501 0.3749 0.1250
0.2499 0.6251 0.8750
0.5000 0.5000 0.5000
0.5000 0.0000 0.5000
0.0000 0.0000 0.5000
0.0000 0.0000 0.0000
```

DOS(E_F): 16.746 states/eV per cell
raw total energy: -0.8020 Ry/atom
formation energy from the elements: -0.5 eV per formula unit
space-group type: R-3m (166)
size of the total moment: 1.758 μB/atom
volume: 17.1 Å³ per atom

Entry from Alexandria via LeMat-Bulk: a relaxed structure of SmZr3Sb2 (PBE).

```
SmZr3Sb2
1.0
4.0927 0.0000 0.0000
-2.0464 9.7110 -0.3567
0.0000 -4.6647 7.7227
Sb Zr Sm
4 6 2
Direct
0.2453 0.4907 0.7686
0.7547 0.5093 0.2314
0.5106 0.0213 0.1945
0.4894 0.9787 0.8055
0.3134 0.6268 0.5211
0.0606 0.1212 0.4617
0.9394 0.8788 0.5383
0.3513 0.7026 0.1839
0.6866 0.3732 0.4789
0.6487 0.2974 0.8161
0.8880 0.7760 0.9024
0.1120 0.2240 0.0976
```

DOS(E_F): 10.401 states/eV per cell
raw total energy: -0.5151 Ry/atom
formation energy from raw total energies: -573 meV/atom
space-group type: C2/m (12)
size of the total moment: 0.000 μB/atom
volume: 25.0 Å³ per atom

Entry from Alexandria via LeMat-Bulk: a relaxed structure of Cs3Sb4Au4 (PBE).

```
Cs3Sb4Au4
1.0
6.5392 0.0012 0.7575
-0.0010 4.7194 0.0024
4.9364 2.3527 14.6083
Au Sb Cs
4 4 3
Direct
0.3269 0.9058 0.1889
0.6731 0.0943 0.8111
0.1227 0.2706 0.4588
0.8774 0.7294 0.5412
0.2970 0.8159 0.3682
0.6306 0.5493 0.9011
0.7031 0.1842 0.6318
0.3695 0.4507 0.0989
0.2064 0.6655 0.6698
0.0000 0.0000 0.0000
0.7936 0.3346 0.3302
```

DOS(E_F): 4.093 states/eV per cell
raw total energy: -0.2400 Ry/atom
formation energy from raw total energies: -342 meV/atom
space-group type: P-1 (2)
size of the total moment: 0.000 μB/atom
volume: 39.4 Å³ per atom

Entry from Alexandria via LeMat-Bulk: a relaxed structure of Mg2Sn (PBE).

```
Mg2Sn
1.0
2.8692 -4.9697 0.0000
2.8692 4.9697 0.0000
0.0000 0.0000 4.9891
Mg Sn
4 2
Direct
0.6672 0.0000 0.5000
0.3328 0.3328 0.5000
0.0000 0.6672 0.5000
0.0000 0.0000 0.0000
0.3333 0.6667 0.0000
0.6667 0.3333 0.0000
```

DOS(E_F): 1.937 states/eV per cell
raw total energy: -0.1812 Ry/atom
formation energy from the elements: -0.2 eV per formula unit
space-group type: P-62m (189)
size of the total moment: 0.000 μB/atom
volume: 23.7 Å³ per atom

Entry from Alexandria via LeMat-Bulk: a relaxed structure of RbV3I (PBE).

```
RbV3I
1.0
-4.1952 -0.8995 -1.8963
1.8959 -3.4420 -2.5618
-0.9001 -3.0575 3.4418
V I Rb
3 1 1
Direct
0.5000 0.0000 0.0000
0.0000 0.0000 0.5000
0.0000 0.5000 0.0000
0.5000 0.5000 0.5000
0.0000 0.0000 0.0000
```

DOS(E_F): 7.035 states/eV per cell
raw total energy: -0.2349 Ry/atom
formation energy from raw total energies: 2779 meV/atom
space-group type: Pm-3m (221)
size of the total moment: 0.174 μB/atom
excess energy over the best structure of this formula in the dataset: 1169 meV/atom
volume: 20.6 Å³ per atom

Entry from Alexandria via LeMat-Bulk: a relaxed structure of Ca8TlNi2 (PBE).

```
Ca8TlNi2
1.0
5.6651 0.1846 -0.8676
-1.7894 7.3352 -2.9865
0.1499 0.0102 8.1181
Ca Ni Tl
8 2 1
Direct
0.4184 0.9407 0.6738
0.5816 0.0654 0.3324
0.0000 0.2488 0.7574
0.5816 0.3324 0.0654
0.0000 0.7574 0.2488
0.4184 0.6738 0.9407
0.7986 0.6228 0.6228
0.2012 0.3831 0.3831
0.4999 0.3191 0.6875
0.4999 0.6875 0.3191
0.0001 0.0029 0.0029
```

DOS(E_F): 8.339 states/eV per cell
raw total energy: -0.2079 Ry/atom
formation energy from the elements: -1.2 eV per formula unit
space-group type: C2/m (12)
size of the total moment: 0.000 μB/atom
volume: 31.0 Å³ per atom

Entry from Alexandria via LeMat-Bulk: a relaxed structure of ErNbIr (PBE).

```
ErNbIr
1.0
-0.3921 4.5082 0.3998
-3.2981 -0.5594 3.0736
4.4138 -0.0355 4.7298
Er Ir Nb
2 2 2
Direct
0.0000 0.5000 0.8651
0.5000 0.0000 0.1349
0.5000 0.0000 0.6939
0.0000 0.5000 0.3061
0.0000 0.0000 0.5000
0.5000 0.5000 0.5000
```

DOS(E_F): 7.519 states/eV per cell
raw total energy: -0.6128 Ry/atom
formation energy from the elements: -1.5 eV per formula unit
space-group type: P4/nmm (129)
size of the total moment: 0.000 μB/atom
volume: 22.3 Å³ per atom

Entry from Alexandria via LeMat-Bulk: a relaxed structure of Sc2TlAs (PBE).

```
Sc2TlAs
1.0
-0.6795 -7.4739 -0.9882
4.0985 -1.1990 6.2499
-1.0418 -4.3251 4.4372
Sc As Tl
4 2 2
Direct
0.5957 0.1250 0.2500
0.1543 0.6250 0.2500
0.3750 0.4043 0.7500
0.8750 0.8457 0.7500
0.2500 0.7500 0.5000
0.5000 0.5000 0.0000
0.0000 0.0000 0.0000
0.7500 0.2500 0.5000
```

DOS(E_F): 2.219 states/eV per cell
raw total energy: -0.3969 Ry/atom
formation energy from the elements: -1.9 eV per formula unit
space-group type: I-42d (122)
size of the total moment: 0.000 μB/atom
excess energy over the best structure of this formula in the dataset: 318 meV/atom
volume: 23.6 Å³ per atom

Entry from Alexandria via LeMat-Bulk: a relaxed structure of MnBiSe2 (PBE).

```
MnBiSe2
1.0
4.0497 0.0000 0.0000
0.0000 7.2762 0.0000
0.0000 0.0000 15.0394
Se Bi Mn
8 4 4
Direct
0.2500 0.3009 0.2025
0.2500 0.6718 0.5584
0.2500 0.8282 0.0584
0.7500 0.8009 0.2975
0.7500 0.6991 0.7975
0.7500 0.1718 0.9416
0.7500 0.3282 0.4416
0.2500 0.1991 0.7025
0.2500 0.4712 0.8715
0.7500 0.9712 0.6285
0.7500 0.5288 0.1285
0.2500 0.0288 0.3715
0.2500 0.1823 0.0479
0.7500 0.6823 0.4521
0.2500 0.3177 0.5479
0.7500 0.8177 0.9521
```

DOS(E_F): 3.214 states/eV per cell
raw total energy: -0.3849 Ry/atom
formation energy from raw total energies: -232 meV/atom
space-group type: Pnma (62)
size of the total moment: 1.025 μB/atom
volume: 27.7 Å³ per atom

Entry from Alexandria via LeMat-Bulk: a relaxed structure of AcPIrF (PBE).

```
AcPIrF
1.0
4.0197 0.0000 0.0000
0.0000 4.0197 0.0000
0.0000 0.0000 9.0545
Ac Ir F P
2 2 2 2
Direct
0.0000 0.5000 0.3060
0.5000 0.0000 0.6940
0.5000 0.5000 0.0000
0.0000 0.0000 0.0000
0.5000 0.5000 0.5000
0.0000 0.0000 0.5000
0.5000 0.0000 0.1493
0.0000 0.5000 0.8507
```

DOS(E_F): 1.269 states/eV per cell
raw total energy: -0.5225 Ry/atom
formation energy from raw total energies: -2046 meV/atom
space-group type: P4/nmm (129)
size of the total moment: 0.000 μB/atom
volume: 18.3 Å³ per atom

Entry from Alexandria via LeMat-Bulk: a relaxed structure of AcPmHoTh (PBE).

```
AcPmHoTh
1.0
5.8431 0.0000 0.0000
2.9215 5.0603 0.0000
2.9215 1.6868 4.7709
Th Pm Ho Ac
1 1 1 1
Direct
0.7500 0.7500 0.7500
0.5000 0.5000 0.5000
0.0000 0.0000 0.0000
0.2500 0.2500 0.2500
```

DOS(E_F): 7.012 states/eV per cell
raw total energy: -0.3710 Ry/atom
formation energy from the elements: 0.7 eV per formula unit
space-group type: F-43m (216)
size of the total moment: 0.000 μB/atom
volume: 35.3 Å³ per atom

Entry from Alexandria via LeMat-Bulk: a relaxed structure of Fe2PAu (PBE).

```
Fe2PAu
1.0
4.6533 -0.0035 -0.0080
1.3574 4.4510 0.0080
-2.4759 -2.9393 2.6237
Fe Au P
2 1 1
Direct
0.9520 0.9520 0.0000
0.5480 0.5480 0.0000
0.2500 0.7500 0.5000
0.7500 0.2500 0.5000
```

DOS(E_F): 3.706 states/eV per cell
raw total energy: -0.4626 Ry/atom
formation energy from the elements: 0.4 eV per formula unit
space-group type: Immm (71)
size of the total moment: 0.952 μB/atom
volume: 13.6 Å³ per atom

Entry from Alexandria via LeMat-Bulk: a relaxed structure of MgRu2Br (PBE).

```
MgRu2Br
1.0
-0.9800 -3.3458 -2.7782
-3.5342 0.3070 -2.6997
0.5860 0.5041 -4.3904
Ru Mg Br
2 1 1
Direct
0.2500 0.2500 0.2500
0.7500 0.7500 0.7500
0.0000 0.0000 0.0000
0.5000 0.5000 0.5000
```

DOS(E_F): 4.395 states/eV per cell
raw total energy: -0.3444 Ry/atom
formation energy from raw total energies: 768 meV/atom
space-group type: Fm-3m (225)
size of the total moment: 0.000 μB/atom
excess energy over the best structure of this formula in the dataset: 653 meV/atom
volume: 15.7 Å³ per atom

Entry from Alexandria via LeMat-Bulk: a relaxed structure of CaLa2Ti2 (PBE).

```
CaLa2Ti2
1.0
9.2027 0.0000 0.0000
0.0000 9.2027 0.0000
0.0000 0.0000 3.4145
La Ti Ca
4 4 2
Direct
0.1839 0.6839 0.5000
0.8161 0.3161 0.5000
0.3161 0.1839 0.5000
0.6839 0.8161 0.5000
0.3939 0.8939 0.0000
0.8939 0.6061 0.0000
0.6061 0.1061 0.0000
0.1061 0.3939 0.0000
0.5000 0.5000 0.0000
0.0000 0.0000 0.0000
```

DOS(E_F): 17.092 states/eV per cell
raw total energy: -0.3822 Ry/atom
formation energy from the elements: 1.6 eV per formula unit
space-group type: P4/mbm (127)
size of the total moment: 0.226 μB/atom
volume: 28.9 Å³ per atom

Entry from Alexandria via LeMat-Bulk: a relaxed structure of AcPrSm2Dy5 (PBE).

```
AcPrSm2Dy5
1.0
-2.1858 -8.5528 -0.5700
8.4298 -2.0382 -1.7430
-1.7405 4.4297 8.8505
Ac Dy Sm Pr
2 10 4 2
Direct
0.2500 0.2500 0.5000
0.7500 0.7500 0.5000
0.0000 0.0000 0.0000
0.0735 0.5735 0.7393
0.9265 0.4265 0.2607
0.3342 0.8342 0.2607
0.6658 0.1658 0.7393
0.1658 0.0735 0.7393
0.5000 0.5000 0.0000
0.5735 0.6658 0.7393
0.8342 0.9265 0.2607
0.4265 0.3342 0.2607
0.6172 0.1172 0.0000
0.8828 0.6172 0.0000
0.3828 0.8828 0.0000
0.1172 0.3828 0.0000
0.2500 0.7500 0.5000
0.7500 0.2500 0.5000
```

DOS(E_F): 20.500 states/eV per cell
raw total energy: -0.3194 Ry/atom
formation energy from the elements: 2.2 eV per formula unit
space-group type: I4/mcm (140)
size of the total moment: 0.000 μB/atom
volume: 34.2 Å³ per atom

Entry from Alexandria via LeMat-Bulk: a relaxed structure of YReRh2 (PBE).

```
YReRh2
1.0
2.9333 0.0000 0.0000
0.0000 2.9333 0.0000
0.0000 0.0000 7.8514
Re Rh Y
1 2 1
Direct
0.5000 0.5000 0.7500
0.0000 0.0000 0.9696
0.0000 0.0000 0.5304
0.5000 0.5000 0.2500
```

DOS(E_F): 3.806 states/eV per cell
raw total energy: -0.6303 Ry/atom
formation energy from the elements: -0.7 eV per formula unit
space-group type: P4/mmm (123)
size of the total moment: 0.000 μB/atom
excess energy over the best structure of this formula in the dataset: 0 meV/atom
volume: 16.9 Å³ per atom

Entry from Alexandria via LeMat-Bulk: a relaxed structure of La2NdSmHg2 (PBE).

```
La2NdSmHg2
1.0
5.2864 0.0000 0.0000
0.0000 7.2693 0.0000
0.0000 0.0000 9.7646
Nd La Hg Sm
2 4 4 2
Direct
0.0000 0.9948 0.4438
0.0000 0.4948 0.5562
0.0000 0.8327 0.8284
0.5000 0.0201 0.0574
0.5000 0.5201 0.9426
0.0000 0.3327 0.1716
0.0000 0.7724 0.1566
0.0000 0.2724 0.8434
0.5000 0.2461 0.3587
0.5000 0.7461 0.6413
0.5000 0.6794 0.3276
0.5000 0.1794 0.6724
```

DOS(E_F): 9.046 states/eV per cell
raw total energy: -0.2689 Ry/atom
formation energy from the elements: -2.0 eV per formula unit
space-group type: Pmc2_1 (26)
size of the total moment: 0.000 μB/atom
volume: 31.3 Å³ per atom

Entry from Alexandria via LeMat-Bulk: a relaxed structure of LaMg2In2 (PBE).

```
LaMg2In2
1.0
-3.3328 -2.3270 -2.2897
0.3042 -3.4792 3.0932
-8.5169 5.3988 6.9101
Mg In La
4 4 2
Direct
0.5000 0.0000 0.6392
0.5000 0.5000 0.0000
0.0000 0.0000 0.0000
0.0000 0.5000 0.3608
0.0000 0.5000 0.1404
0.5000 0.0000 0.8596
0.0000 0.0000 0.5000
0.5000 0.5000 0.5000
0.5000 0.0000 0.2523
0.0000 0.5000 0.7477
```

DOS(E_F): 4.358 states/eV per cell
raw total energy: -0.2228 Ry/atom
formation energy from the elements: -1.6 eV per formula unit
space-group type: P4/nmm (129)
size of the total moment: 0.000 μB/atom
volume: 26.6 Å³ per atom

Entry from Alexandria via LeMat-Bulk: a relaxed structure of BaTlP (PBE).

```
BaTlP
1.0
-4.0237 4.6656 3.0042
-6.0290 1.3477 2.3496
0.4948 -0.0742 3.8997
P Tl Ba
1 1 1
Direct
0.3229 0.3229 0.6771
0.6985 0.6985 0.3015
0.9786 0.9786 0.0214
```

DOS(E_F): 0.598 states/eV per cell
raw total energy: -0.2636 Ry/atom
formation energy from the elements: -1.1 eV per formula unit
space-group type: Fmm2 (42)
size of the total moment: 0.000 μB/atom
excess energy over the best structure of this formula in the dataset: 272 meV/atom
volume: 30.9 Å³ per atom

Entry from Alexandria via LeMat-Bulk: a relaxed structure of Ag3P11 (PBE).

```
Ag3P11
1.0
-5.7957 1.0183 4.7733
-1.7321 -5.4565 4.9636
1.7936 1.3104 6.2868
Ag P
3 11
Direct
0.9984 0.9984 0.9986
0.5891 0.5891 0.1972
0.2917 0.2917 0.9708
0.2648 0.7763 0.4690
0.6140 0.9106 0.4974
0.8108 0.8108 0.9554
0.7763 0.2648 0.4690
0.9106 0.6140 0.4974
0.4920 0.4920 0.9457
0.8089 0.3511 0.7345
0.0552 0.6106 0.7288
0.0825 0.0825 0.2725
0.6106 0.0552 0.7288
0.3511 0.8089 0.7345
```

raw total energy: -0.3589 Ry/atom
formation energy from the elements: -0.3 eV per formula unit
space-group type: Cm (8)
size of the total moment: 0.000 μB/atom
volume: 20.9 Å³ per atom